Crystalline Ac4OsCl5 at its relaxed geometry. Source: the Alexandria database, functional PBE.

## Properties
* space-group type: No. 12
* E above lowest polymorph: 0.0 meV per atom
* formation energy without anion corrections: -1616 meV per atom

a b c (Å): 10.023 10.023 8.966
angles (deg): 109.03 109.03 25.16
Sites, in units of the cell vectors:
Ac 0.003 0.003 0.279
Ac 0.341 0.341 0.370
Ac 0.659 0.659 0.630
Ac 0.997 0.997 0.721
Os 0.500 0.500 0.500
Cl 0.168 0.168 0.867
Cl 0.175 0.175 0.398
Cl 0.500 0.500 0.000
Cl 0.825 0.825 0.602
Cl 0.832 0.832 0.133


Crystalline OsPtW3 at its relaxed geometry. Source: the Alexandria database, functional PBE.

## Properties
* space-group type: No. 221
* E above lowest polymorph: 0.0 meV per atom
* energy relative to the elements: 1.916 eV per atom

a b c (Å): 4.697 4.697 4.697
angles (deg): 90.00 90.00 90.00
Sites, in units of the cell vectors:
Os 0.000 0.000 0.000
Pt 0.500 0.500 0.500
W 0.000 0.000 0.500
W 0.000 0.500 0.000
W 0.500 0.000 0.000


Crystalline Rb2Ru2F at its relaxed geometry. Source: the Alexandria database, functional PBE.

## Properties
* space-group type: No. 127
* E above lowest polymorph: 1103.9 meV per atom
* formation energy without anion corrections: 656 meV per atom

a b c (Å): 9.863 9.863 2.976
angles (deg): 90.00 90.00 90.00
Sites, in units of the cell vectors:
Rb 0.209 0.291 0.000
Rb 0.291 0.791 0.000
Rb 0.709 0.209 0.000
Rb 0.791 0.709 0.000
Ru 0.077 0.577 0.500
Ru 0.423 0.077 0.500
Ru 0.577 0.923 0.500
Ru 0.923 0.423 0.500
F 0.000 0.000 0.500
F 0.500 0.500 0.500


Crystalline NbTl3Sn at its relaxed geometry. Source: the Alexandria database, functional PBE.

## Properties
* space-group type: No. 221
* E above lowest polymorph: 0.0 meV per atom
* energy relative to the elements: 0.673 eV per atom

a b c (Å): 5.500 5.500 5.500
angles (deg): 90.00 90.00 90.00
Sites, in units of the cell vectors:
Nb 0.000 0.000 0.000
Tl 0.000 0.000 0.500
Tl 0.000 0.500 0.000
Tl 0.500 0.000 0.000
Sn 0.500 0.500 0.500


Crystalline BeInReH2 at its relaxed geometry. Source: the Alexandria database, functional PBE.

## Properties
* space-group type: No. 123
* total DFT energy (no corrections): -4.131 eV per atom

a b c (Å): 3.535 3.535 5.497
angles (deg): 90.00 90.00 90.00
Sites, in units of the cell vectors:
Be 0.000 0.000 0.000
In 0.500 0.500 0.000
Re 0.500 0.500 0.500
H 0.000 0.500 0.500
H 0.500 0.000 0.500


Crystalline CdH12C2S2N6Cl4 at its relaxed geometry. Source: the Alexandria database, functional PBE.

## Properties
* space-group type: No. 14
* total DFT energy (no corrections): -4.998 eV per atom

a b c (Å): 7.721 8.355 12.661
angles (deg): 90.00 119.29 90.00
Sites, in units of the cell vectors:
Cd 0.000 0.000 0.000
Cd 0.000 0.500 0.500
H 0.188 0.039 0.769
H 0.188 0.177 0.424
H 0.188 0.323 0.924
H 0.188 0.461 0.269
H 0.229 0.529 0.945
H 0.229 0.971 0.445
H 0.265 0.653 0.287
H 0.265 0.847 0.787
H 0.313 0.649 0.128
H 0.313 0.851 0.628
H 0.437 0.003 0.843
H 0.437 0.497 0.343
H 0.563 0.503 0.657
H 0.563 0.997 0.157
H 0.687 0.149 0.372
H 0.687 0.351 0.872
H 0.735 0.153 0.213
H 0.735 0.347 0.713
H 0.771 0.029 0.555
H 0.771 0.471 0.055
H 0.812 0.539 0.731
H 0.812 0.677 0.076
H 0.812 0.823 0.576
H 0.812 0.961 0.231
C 0.255 0.098 0.592
C 0.255 0.402 0.092
C 0.745 0.598 0.908
C 0.745 0.902 0.408
S 0.241 0.225 0.154
S 0.241 0.275 0.654
S 0.759 0.725 0.346
S 0.759 0.775 0.846
N 0.231 0.080 0.481
N 0.231 0.420 0.981
N 0.295 0.538 0.159
N 0.295 0.962 0.659
N 0.300 0.537 0.272
N 0.300 0.963 0.772
N 0.700 0.037 0.228
N 0.700 0.463 0.728
N 0.705 0.038 0.341
N 0.705 0.462 0.841
N 0.769 0.580 0.019
N 0.769 0.920 0.519
Cl 0.060 0.632 0.708
Cl 0.060 0.868 0.208
Cl 0.326 0.653 0.525
Cl 0.326 0.847 0.025
Cl 0.674 0.153 0.975
Cl 0.674 0.347 0.475
Cl 0.940 0.132 0.792
Cl 0.940 0.368 0.292